[1]
First-principles (GGA-PBE) data for Li2Ca4N after structural relaxation, as listed in the Alexandria database.

## Properties
space group: I4/mmm
size of the total moment: 0.0 Bohr magnetons per cell
raw total energy: -3.1237 eV/atom
crystal system: tetragonal

Cell lengths 4.8843, 4.8843, 9.1425 Å; angles 74.51, 74.51, 90.00 degrees
Element x y z (fractional)
Ca1 0.1439 0.1439 0.7122
Ca2 0.8561 0.8561 0.2878
Ca3 0.0000 0.5000 0.0000
Ca4 0.5000 0.0000 0.0000
Li1 0.3369 0.3369 0.3261
Li2 0.6631 0.6631 0.6739
N1 0.0000 0.0000 0.0000

***

[2]
First-principles (GGA-PBE) data for Li2CaNb3N6 after structural relaxation, as listed in the Alexandria database.

## Properties
space group: C2/m
size of the total moment: 0.0 Bohr magnetons per cell
raw total energy: -8.1286 eV/atom
crystal system: monoclinic

Cell lengths 3.1295, 6.5226, 7.1839 Å; angles 105.92, 102.58, 90.00 degrees
Element x y z (fractional)
Li1 0.8279 0.6477 0.6557
Li2 0.1721 0.3523 0.3443
Ca1 0.5000 0.0000 0.0000
Nb1 0.5000 0.5000 0.0000
Nb2 0.8259 0.1783 0.6518
Nb3 0.1741 0.8217 0.3482
N1 0.3250 0.9384 0.6501
N2 0.6623 0.5980 0.3245
N3 0.6750 0.0616 0.3499
N4 0.9929 0.2723 0.9858
N5 0.0071 0.7277 0.0142
N6 0.3377 0.4020 0.6755

***

[3]
First-principles (GGA-PBE) data for LiCa4Nb3N8 after structural relaxation, as listed in the Alexandria database.

## Properties
space group: R-3m
size of the total moment: 0.0 Bohr magnetons per cell
raw total energy: -7.6766 eV/atom
crystal system: trigonal

Cell lengths 6.4623, 6.6409, 6.4623 Å; angles 119.11, 120.00, 90.00 degrees
Element x y z (fractional)
Li1 0.0000 0.5000 0.0000
Ca1 0.5000 0.0000 0.0000
Ca2 0.5000 0.0000 0.5000
Ca3 0.0000 0.0000 0.0000
Ca4 0.0000 0.0000 0.5000
Nb1 0.5000 0.5000 0.0000
Nb2 0.5000 0.5000 0.5000
Nb3 0.0000 0.5000 0.5000
N1 0.2471 0.7088 0.9617
N2 0.2471 0.7088 0.4942
N3 0.2604 0.2811 0.5207
N4 0.7146 0.7088 0.9617
N5 0.2854 0.2912 0.0383
N6 0.7396 0.7189 0.4793
N7 0.7529 0.2912 0.5058
N8 0.7529 0.2912 0.0383

***

[4]
First-principles (GGA-PBE) data for LiCaNbN3 after structural relaxation, as listed in the Alexandria database.

## Properties
space group: P2_1/m
size of the total moment: 0.0 Bohr magnetons per cell
raw total energy: -7.1132 eV/atom
crystal system: monoclinic

Cell lengths 3.2130, 6.8437, 6.9615 Å; angles 104.14, 90.00, 90.00 degrees
Element x y z (fractional)
Li1 0.2500 0.0763 0.5899
Li2 0.7500 0.9237 0.4101
Ca1 0.2500 0.2040 0.2305
Ca2 0.7500 0.7960 0.7695
Nb1 0.2500 0.6748 0.1792
Nb2 0.7500 0.3252 0.8208
N1 0.7500 0.8598 0.1311
N2 0.2500 0.1402 0.8689
N3 0.2500 0.7837 0.4648
N4 0.7500 0.2163 0.5352
N5 0.7500 0.4526 0.1630
N6 0.2500 0.5474 0.8370

***

The records above give, respectively, formation energy from raw total energies values of -0.2438 -0.9627 -1.0059 -0.6197 eV per atom.